DFT (PBE-GGA) results for crystalline CaNdHg2 at its relaxed geometry.

Calculated values
Polymorph energy (0 for the lowest one)   0 meV/atom
ΔE_f   -542 meV per atom
Mass density   8.8 Mg/m³
Spin magnetization   0.0 μB/cell
Energy   -9.542 eV per formula unit

a b c (Å): 5.3840 5.3840 5.3840
angles (deg): 60.00 60.00 60.00
Positions (direct):
1 Ca 0.0000 0.0000 0.0000
2 Nd 0.5000 0.5000 0.5000
3 Hg 0.2500 0.2500 0.2500
4 Hg 0.7500 0.7500 0.7500


DFT (PBE-GGA) results for crystalline AcHI at its relaxed geometry.

Calculated values
Polymorph energy (0 for the lowest one)   679 meV/atom
Mass density   5.8 Mg/m³
Spin magnetization   0.9 μB/cell
Energy   -10.032 eV per formula unit

a b c (Å): 5.2280 5.2280 5.2280
angles (deg): 60.00 60.00 60.00
Positions (direct):
1 Ac 0.0000 0.0000 0.0000
2 H 0.7500 0.7500 0.7500
3 I 0.2500 0.2500 0.2500